Entry from Alexandria via LeMat-Bulk: a relaxed structure of Y2PaSn (PBE-GGA).

Cell and atoms, written as POSCAR:
```
Y2PaSn
1.0
7.570 0.000 0.000
0.000 7.570 0.000
0.000 0.000 7.570
Y Pa Sn
8 4 4
Direct
0.250 0.250 0.250 Y
0.250 0.250 0.750 Y
0.250 0.750 0.250 Y
0.250 0.750 0.750 Y
0.750 0.250 0.250 Y
0.750 0.250 0.750 Y
0.750 0.750 0.250 Y
0.750 0.750 0.750 Y
0.000 0.000 0.000 Pa
0.000 0.500 0.500 Pa
0.500 0.000 0.500 Pa
0.500 0.500 0.000 Pa
0.000 0.000 0.500 Sn
0.000 0.500 0.000 Sn
0.500 0.000 0.000 Sn
0.500 0.500 0.500 Sn
```

DOS at the Fermi energy in states/eV/cell: 29.857
Space group: Fm-3m (225)
E_form in meV per atom: 12
Energy relative to the lowest polymorph listed for this composition in kJ/mol of formula units: 80.2
Total magnetic moment in μB per formula unit: 1.73

=====

Entry from Alexandria via LeMat-Bulk: a relaxed structure of SmHoTi4 (PBE-GGA).

Cell and atoms, written as POSCAR:
```
SmHoTi4
1.0
0.000 4.127 4.127
4.127 0.000 4.127
4.127 4.127 0.000
Sm Ho Ti
1 1 4
Direct
0.000 0.000 0.000 Sm
0.750 0.750 0.750 Ho
0.376 0.376 0.376 Ti
0.376 0.376 0.873 Ti
0.376 0.873 0.376 Ti
0.873 0.376 0.376 Ti
```

DOS at the Fermi energy in states/eV/cell: 7.201
Space group: F-43m (216)
E_form in meV per atom: 266
Total magnetic moment in μB per formula unit: 9.58

=====

Entry from Alexandria via LeMat-Bulk: a relaxed structure of SmThPb2 (PBE-GGA).

Cell and atoms, written as POSCAR:
```
SmThPb2
1.0
4.629 0.000 0.000
0.000 4.541 0.000
0.000 0.000 11.959
Sm Th Pb
2 2 4
Direct
0.000 0.000 0.000 Sm
0.000 0.500 0.500 Sm
0.500 0.000 0.262 Th
0.500 0.500 0.762 Th
0.000 0.000 0.732 Pb
0.000 0.500 0.232 Pb
0.500 0.000 0.532 Pb
0.500 0.500 0.032 Pb
```

DOS at the Fermi energy in states/eV/cell: 4.296
Space group: Amm2 (38)
E_form in meV per atom: -402
Total magnetic moment in μB per formula unit: 0.00

=====

Entry from Alexandria via LeMat-Bulk: a relaxed structure of Ca2AlSe (PBE-GGA).

Cell and atoms, written as POSCAR:
```
Ca2AlSe
1.0
4.302 0.000 0.000
0.000 4.302 0.000
0.000 0.000 11.597
Ca Al Se
4 2 2
Direct
0.000 0.000 0.000 Ca
0.000 0.500 0.250 Ca
0.500 0.000 0.750 Ca
0.500 0.500 0.500 Ca
0.000 0.000 0.500 Al
0.500 0.500 0.000 Al
0.000 0.500 0.750 Se
0.500 0.000 0.250 Se
```

DOS at the Fermi energy in states/eV/cell: 3.639
Space group: I-4m2 (119)
Energy relative to the lowest polymorph listed for this composition in kJ/mol of formula units: 86.6
Formation energy (no corrections) in kcal/mol of atoms: -15.2
Total magnetic moment in μB per formula unit: 0.00

=====

Entry from Alexandria via LeMat-Bulk: a relaxed structure of Cd3InPb2 (PBE-GGA).

Cell and atoms, written as POSCAR:
```
Cd3InPb2
1.0
6.972 -4.242 0.000
6.972 4.242 0.000
0.000 0.000 5.856
Cd In Pb
6 2 4
Direct
0.000 0.000 0.000 Cd
0.000 0.000 0.500 Cd
0.352 0.352 0.000 Cd
0.352 0.352 0.500 Cd
0.648 0.648 0.000 Cd
0.648 0.648 0.500 Cd
0.305 0.695 0.750 In
0.695 0.305 0.250 In
0.004 0.346 0.750 Pb
0.346 0.004 0.250 Pb
0.654 0.996 0.750 Pb
0.996 0.654 0.250 Pb
```

DOS at the Fermi energy in states/eV/cell: 3.930
Space group: Cmcm (63)
E_form in meV per atom: 86
Energy relative to the lowest polymorph listed for this composition in kJ/mol of formula units: 25.3
Total magnetic moment in μB per formula unit: 0.00

=====

Entry from Alexandria via LeMat-Bulk: a relaxed structure of NbGaFe (PBE-GGA).

Cell and atoms, written as POSCAR:
```
NbGaFe
1.0
2.996 0.000 0.000
0.000 2.996 0.000
0.000 0.000 9.616
Nb Ga Fe
2 2 2
Direct
0.000 0.000 0.000 Nb
0.500 0.500 0.500 Nb
0.000 0.000 0.302 Ga
0.500 0.500 0.802 Ga
0.000 0.000 0.655 Fe
0.500 0.500 0.155 Fe
```

DOS at the Fermi energy in states/eV/cell: 3.766
Space group: I4mm (107)
E_form in meV per atom: -157
Total magnetic moment in μB per formula unit: 0.28

=====

Entry from Alexandria via LeMat-Bulk: a relaxed structure of SrTl2AgCl5 (PBE-GGA).

Cell and atoms, written as POSCAR:
```
SrTl2AgCl5
1.0
2.179 -9.259 0.000
2.179 9.259 0.000
0.000 0.000 13.612
Sr Tl Ag Cl
2 4 2 10
Direct
0.207 0.793 0.500 Sr
0.793 0.207 0.000 Sr
0.106 0.894 0.174 Tl
0.126 0.874 0.797 Tl
0.874 0.126 0.297 Tl
0.894 0.106 0.674 Tl
0.484 0.516 0.949 Ag
0.516 0.484 0.449 Ag
0.051 0.949 0.539 Cl
0.286 0.714 0.143 Cl
0.304 0.696 0.860 Cl
0.363 0.637 0.492 Cl
0.497 0.503 0.264 Cl
0.503 0.497 0.764 Cl
0.637 0.363 0.992 Cl
0.696 0.304 0.360 Cl
0.714 0.286 0.643 Cl
0.949 0.051 0.039 Cl
```

DOS at the Fermi energy in states/eV/cell: 0.000
Space group: Cmc2_1 (36)
Formation energy (no corrections) in kcal/mol of atoms: -31.7
Total magnetic moment in μB per formula unit: 0.00

=====

Entry from Alexandria via LeMat-Bulk: a relaxed structure of HgIrSe2 (PBE-GGA).

Cell and atoms, written as POSCAR:
```
HgIrSe2
1.0
3.006 0.000 0.000
0.000 4.994 0.000
0.000 0.000 11.438
Hg Ir Se
2 2 4
Direct
0.000 0.000 0.000 Hg
0.500 0.500 0.500 Hg
0.000 0.000 0.500 Ir
0.500 0.500 0.000 Ir
0.000 0.500 0.179 Se
0.000 0.500 0.821 Se
0.500 0.000 0.321 Se
0.500 0.000 0.679 Se
```

DOS at the Fermi energy in states/eV/cell: 5.979
Space group: Immm (71)
Formation energy (no corrections) in kcal/mol of atoms: 4.1
Total magnetic moment in μB per formula unit: 0.00

=====

Among the records above, which one has the highest DOS at the Fermi energy? Y2PaSn